# 1
# Mo2RhSe

A crystal of Mo2RhSe relaxed with PBEsol (SCAN, Alexandria via LeMat-Bulk).

Properties
- Space-group type: P2/m
- E_form (uncorrected): 0.19 eV per atom

a = 2.862 Å, b = 4.035 Å, c = 5.311 Å
α = 90.00°, β = 104.11°, γ = 90.00°
Atoms (fractional coordinates):
Mo 0.074 0.000 0.253
Mo 0.926 0.000 0.747
Rh 0.500 0.500 0.000
Se 0.500 0.500 0.500

# 2
# In2AgW

A crystal of In2AgW relaxed with PBEsol (SCAN, Alexandria via LeMat-Bulk).

Properties
- Excess energy over the best structure of this formula in the dataset: 0 meV/atom
- Space-group type: Cm

a = 2.936 Å, b = 5.046 Å, c = 5.568 Å
α = 111.37°, β = 105.29°, γ = 90.00°
Atoms (fractional coordinates):
W 0.507 0.417 0.015
In 0.762 0.341 0.525
In 0.993 0.920 0.987
Ag 0.237 0.822 0.473

# 3
# La7YAl8O24

A crystal of La7YAl8O24 relaxed with PBEsol (SCAN, Alexandria via LeMat-Bulk).

Properties
- Space-group type: Pm-3m
- E_form (uncorrected): -3.67 eV per atom

a = 7.518 Å, b = 7.518 Å, c = 7.518 Å
α = 90.00°, β = 90.00°, γ = 90.00°
Atoms (fractional coordinates):
O 0.500 0.249 0.249
O 0.500 0.751 0.751
O 0.249 0.500 0.751
O 0.751 0.249 0.500
O 0.247 0.000 0.247
O 0.000 0.247 0.753
O 0.249 0.751 0.500
O 0.249 0.500 0.249
O 0.000 0.753 0.247
O 0.751 0.500 0.249
O 0.751 0.500 0.751
O 0.753 0.247 0.000
O 0.753 0.753 0.000
O 0.247 0.000 0.753
O 0.500 0.249 0.751
O 0.500 0.751 0.249
O 0.249 0.249 0.500
O 0.247 0.247 0.000
O 0.000 0.753 0.753
O 0.753 0.000 0.247
O 0.247 0.753 0.000
O 0.751 0.751 0.500
O 0.753 0.000 0.753
O 0.000 0.247 0.247
La 0.500 0.000 0.500
La 0.500 0.500 0.500
La 0.000 0.500 0.500
La 0.000 0.500 0.000
La 0.500 0.500 0.000
La 0.000 0.000 0.500
La 0.500 0.000 0.000
Al 0.249 0.249 0.249
Al 0.751 0.249 0.751
Al 0.249 0.751 0.249
Al 0.751 0.249 0.249
Al 0.751 0.751 0.751
Al 0.249 0.249 0.751
Al 0.751 0.751 0.249
Al 0.249 0.751 0.751
Y 0.000 0.000 0.000